# 1
Computed, not measured: a relaxed structure of CrMo2Os at the GGA-PBE level of DFT.

Structure (CIF):
```
data_CrMo2Os
_space_group_name_H-M_alt 'P 1'
_space_group_IT_number 1
_space_group_name_Hall 'P 1'
_cell_length_a 3.028
_cell_length_b 3.028
_cell_length_c 6.323
_cell_angle_alpha 90.00
_cell_angle_beta 90.00
_cell_angle_gamma 90.00
loop_
_atom_site_label
_atom_site_fract_x
_atom_site_fract_y
_atom_site_fract_z
Cr1 0.500 0.500 0.750
Mo1 0.000 0.000 0.982
Os1 0.500 0.500 0.250
Mo2 0.000 0.000 0.518
```

Values from the calculation:
E above lowest polymorph (eV per formula unit): 0.07
ΔH_f (0 K) (eV/atom): 0.136
Magnetization (μB/cell): 0.0

# 2
Computed, not measured: a relaxed structure of Co2SiCl at the GGA-PBE level of DFT.

Structure (CIF):
```
data_Co2SiCl
_space_group_name_H-M_alt 'P 1'
_space_group_IT_number 1
_space_group_name_Hall 'P 1'
_cell_length_a 6.271
_cell_length_b 6.271
_cell_length_c 6.271
_cell_angle_alpha 149.00
_cell_angle_beta 153.69
_cell_angle_gamma 41.10
loop_
_atom_site_label
_atom_site_fract_x
_atom_site_fract_y
_atom_site_fract_z
Cl1 0.299 0.799 0.500
Co1 0.672 0.172 0.500
Co2 0.984 0.984 0.000
Si1 0.545 0.545 0.000
```

Values from the calculation:
E above lowest polymorph (eV per formula unit): 0.64
Magnetization (μB/cell): 1.5
E_form (uncorrected) (kJ per mole of atoms): 3

# 3
Computed, not measured: a relaxed structure of Nd8DyTm6 at the GGA-PBE level of DFT.

Structure (CIF):
```
data_Nd8DyTm6
_space_group_name_H-M_alt 'P 1'
_space_group_IT_number 1
_space_group_name_Hall 'P 1'
_cell_length_a 6.531
_cell_length_b 9.406
_cell_length_c 9.406
_cell_angle_alpha 120.00
_cell_angle_beta 90.00
_cell_angle_gamma 90.00
loop_
_atom_site_label
_atom_site_fract_x
_atom_site_fract_y
_atom_site_fract_z
Nd1 0.832 0.039 0.288
Nd2 0.122 0.667 0.333
Tm1 0.658 0.657 0.096
Dy1 0.500 0.000 0.000
Tm2 0.658 0.904 0.561
Nd3 0.168 0.751 0.039
Tm3 0.342 0.343 0.904
Tm4 0.658 0.439 0.343
Tm5 0.342 0.096 0.439
Nd4 0.878 0.333 0.667
Nd5 0.832 0.249 0.961
Nd6 0.168 0.961 0.712
Nd7 0.168 0.288 0.249
Tm6 0.342 0.561 0.657
Nd8 0.832 0.712 0.751
```

Values from the calculation:
E above lowest polymorph (eV per formula unit): 0.71
ΔH_f (0 K) (eV/atom): 0.178
Magnetization (μB/cell): 0.0

# 4
Computed, not measured: a relaxed structure of ZnCo2Re2 at the GGA-PBE level of DFT.

Structure (CIF):
```
data_ZnCo2Re2
_space_group_name_H-M_alt 'P 1'
_space_group_IT_number 1
_space_group_name_Hall 'P 1'
_cell_length_a 7.324
_cell_length_b 7.324
_cell_length_c 2.592
_cell_angle_alpha 90.00
_cell_angle_beta 90.00
_cell_angle_gamma 90.00
loop_
_atom_site_label
_atom_site_fract_x
_atom_site_fract_y
_atom_site_fract_z
Re1 0.872 0.628 0.000
Re2 0.128 0.372 0.000
Zn1 0.000 0.000 0.000
Re3 0.628 0.128 0.000
Co1 0.335 0.165 0.500
Co2 0.165 0.665 0.500
Co3 0.665 0.835 0.500
Zn2 0.500 0.500 0.000
Re4 0.372 0.872 0.000
Co4 0.835 0.335 0.500
```

Values from the calculation:
E above lowest polymorph (eV per formula unit): 0.12
ΔH_f (0 K) (eV/atom): 0.291
Magnetization (μB/cell): 0.0

# 5
Computed, not measured: a relaxed structure of La5Pm8Ho at the GGA-PBE level of DFT.

Structure (CIF):
```
data_La5Pm8Ho
_space_group_name_H-M_alt 'P 1'
_space_group_IT_number 1
_space_group_name_Hall 'P 1'
_cell_length_a 8.654
_cell_length_b 8.654
_cell_length_c 8.654
_cell_angle_alpha 110.72
_cell_angle_beta 107.01
_cell_angle_gamma 110.72
loop_
_atom_site_label
_atom_site_fract_x
_atom_site_fract_y
_atom_site_fract_z
Pm1 0.335 0.260 0.437
Pm2 0.668 0.400 0.925
La1 0.500 0.000 0.500
Pm3 0.525 0.600 0.268
Pm4 0.732 0.257 0.332
Pm5 0.177 0.740 0.075
Pm6 0.075 0.743 0.475
La2 0.029 0.322 0.137
Pm7 0.563 0.898 0.823
Pm8 0.925 0.102 0.665
La3 0.814 0.678 0.707
La4 0.863 0.893 0.186
Ho1 0.250 0.500 0.750
La5 0.293 0.107 0.971
```

Values from the calculation:
ΔH_f (0 K) (eV/atom): 0.225
Magnetization (μB/cell): 0.0

# 6
Computed, not measured: a relaxed structure of ScPt2Cl at the GGA-PBE level of DFT.

Structure (CIF):
```
data_ScPt2Cl
_space_group_name_H-M_alt 'P 1'
_space_group_IT_number 1
_space_group_name_Hall 'P 1'
_cell_length_a 3.047
_cell_length_b 4.384
_cell_length_c 5.269
_cell_angle_alpha 90.00
_cell_angle_beta 90.00
_cell_angle_gamma 90.00
loop_
_atom_site_label
_atom_site_fract_x
_atom_site_fract_y
_atom_site_fract_z
Pt1 0.000 0.000 0.000
Cl1 0.000 0.500 0.500
Pt2 0.500 0.500 0.000
Sc1 0.500 0.000 0.500
```

Values from the calculation:
E above lowest polymorph (eV per formula unit): 1.14
Magnetization (μB/cell): 0.0
E_form (uncorrected) (kJ per mole of atoms): -53

> What is the formula in the second record?

Co2SiCl

> Among the records above, which one has the highest magnetization?

Co2SiCl

Please write out number 4 again, unchanged.
Computed, not measured: a relaxed structure of ZnCo2Re2 at the GGA-PBE level of DFT.

Structure (CIF):
```
data_ZnCo2Re2
_space_group_name_H-M_alt 'P 1'
_space_group_IT_number 1
_space_group_name_Hall 'P 1'
_cell_length_a 7.324
_cell_length_b 7.324
_cell_length_c 2.592
_cell_angle_alpha 90.00
_cell_angle_beta 90.00
_cell_angle_gamma 90.00
loop_
_atom_site_label
_atom_site_fract_x
_atom_site_fract_y
_atom_site_fract_z
Re1 0.872 0.628 0.000
Re2 0.128 0.372 0.000
Zn1 0.000 0.000 0.000
Re3 0.628 0.128 0.000
Co1 0.335 0.165 0.500
Co2 0.165 0.665 0.500
Co3 0.665 0.835 0.500
Zn2 0.500 0.500 0.000
Re4 0.372 0.872 0.000
Co4 0.835 0.335 0.500
```

Values from the calculation:
E above lowest polymorph (eV per formula unit): 0.12
ΔH_f (0 K) (eV/atom): 0.291
Magnetization (μB/cell): 0.0